(1)
VASP calculation (GGA-PBE) on a geometry-optimized La3AlZn8 structure.

Unit cell a=5.6418 b=5.6418 c=26.7648 alpha=90.00 beta=90.00 gamma=120.00
Space group R3m (No. 160, hexagonal axes)
Unique sites:
La1 0.0000 0.0000 0.0000
La2 0.0000 0.0000 0.1254
La3 0.0000 0.0000 0.5107
Al1 0.0000 0.0000 0.6370
Zn1 0.0000 0.0000 0.3163
Zn2 0.0000 0.0000 0.8130
Zn3 0.9998 0.4999 0.0639
Zn4 0.0027 0.5014 0.5659


(2)
VASP calculation (GGA-PBE) on a geometry-optimized La3Al7Zn2 structure.

Unit cell a=5.7082 b=5.7082 c=26.6510 alpha=90.00 beta=90.00 gamma=120.00
Space group R-3m (No. 166, hexagonal axes)
Unique sites:
La1 0.0000 0.0000 0.0000
La2 0.0000 0.0000 0.1408
Al1 0.0000 0.0000 0.5000
Al2 0.0061 0.5031 0.9197
Zn1 0.0000 0.0000 0.3353


(3)
VASP calculation (GGA-PBE) on a geometry-optimized LaAlZn2 structure.

Unit cell a=3.417 b=3.417 c=7.175 alpha=90.00 beta=90.00 gamma=90.00
Space group P4mm (No. 99)
Unique sites:
La1 0.000 0.000 0.000
Al1 0.500 0.500 0.687
Zn1 0.000 0.000 0.493
Zn2 0.500 0.500 0.307


(4)
VASP calculation (GGA-PBE) on a geometry-optimized La6Al3Zn structure.

Unit cell a=9.531 b=5.316 c=11.892 alpha=90.00 beta=107.68 gamma=90.00
Space group P2_1/m (No. 11)
Unique sites:
La1 0.036 0.250 0.415
La2 0.157 0.750 0.172
La3 0.246 0.250 0.000
La4 0.340 0.750 0.807
La5 0.375 0.250 0.357
La6 0.404 0.250 0.627
Al1 0.037 0.750 0.875
Al2 0.120 0.250 0.720
Al3 0.268 0.750 0.472
Zn1 0.461 0.750 0.093


(5)
VASP calculation (GGA-PBE) on a geometry-optimized La2AlZn structure.

Unit cell a=5.360 b=3.762 c=10.724 alpha=90.00 beta=90.00 gamma=90.00
Space group Pmma (No. 51)
Unique sites:
La1 0.250 0.000 0.121
La2 0.250 0.000 0.621
Al1 0.250 0.500 0.368
Zn1 0.250 0.500 0.868


(6)
VASP calculation (GGA-PBE) on a geometry-optimized LaAl2Zn2 structure.

Unit cell a=8.099 b=8.099 c=2.954 alpha=90.00 beta=90.00 gamma=90.00
Space group P4/mbm (No. 127)
Unique sites:
La1 0.000 0.000 0.000
Al1 0.127 0.373 0.000
Zn1 0.163 0.663 0.500


(7)
VASP calculation (GGA-PBE) on a geometry-optimized LaAlZn2 structure.

Unit cell a=3.1181 b=3.1181 c=29.8498 alpha=90.00 beta=90.00 gamma=120.00
Space group R-3m (No. 166, hexagonal axes)
Unique sites:
La1 0.0000 0.0000 0.0000
Al1 0.0000 0.0000 0.5000
Zn1 0.0000 0.0000 0.2398


(8)
VASP calculation (GGA-PBE) on a geometry-optimized La5Al4Zn structure.

Unit cell a=3.773 b=3.773 c=19.191 alpha=90.00 beta=90.00 gamma=90.00
Space group P4/mmm (No. 123)
Unique sites:
La1 0.000 0.000 0.000
La2 0.000 0.000 0.201
La3 0.000 0.000 0.401
Al1 0.500 0.500 0.100
Al2 0.500 0.500 0.302
Zn1 0.500 0.500 0.500


(9)
VASP calculation (GGA-PBE) on a geometry-optimized LaAlZn structure.

Unit cell a=7.063 b=7.063 c=7.063 alpha=90.00 beta=90.00 gamma=90.00
Space group F-43m (No. 216)
Unique sites:
La1 0.000 0.000 0.000
Al1 0.250 0.250 0.250
Zn1 0.250 0.250 0.750


(10)
VASP calculation (GGA-PBE) on a geometry-optimized La3Al9Zn2 structure.

Unit cell a=4.424 b=10.215 c=12.940 alpha=90.00 beta=90.00 gamma=90.00
Space group Immm (No. 71)
Unique sites:
La1 0.000 0.000 0.000
La2 0.000 0.000 0.317
Al1 0.000 0.276 0.135
Al2 0.000 0.369 0.337
Al3 0.000 0.500 0.000
Zn1 0.000 0.219 0.500


(11)
VASP calculation (GGA-PBE) on a geometry-optimized La8AlZn2 structure.

Unit cell a=18.501 b=5.140 c=7.807 alpha=90.00 beta=112.74 gamma=90.00
Space group C2/m (No. 12)
Unique sites:
La1 0.026 0.000 0.269
La2 0.087 0.500 0.958
La3 0.173 0.500 0.475
La4 0.192 0.000 0.798
Al1 0.000 0.500 0.500
Zn1 0.178 0.000 0.180

Calculated values
* energy above the most stable polymorph in this dataset: 0 meV per atom


(12)
VASP calculation (GGA-PBE) on a geometry-optimized LaAlZn2 structure.

Unit cell a=6.954 b=6.954 c=6.954 alpha=90.00 beta=90.00 gamma=90.00
Space group F-43m (No. 216)
Unique sites:
La1 0.000 0.000 0.000
Al1 0.250 0.250 0.750
Zn1 0.000 0.000 0.500
Zn2 0.250 0.250 0.250


Number 1: calculated formation energy -0.232 eV per atom, E -2.625 eV/atom. Number 2: calculated formation energy -0.440 eV per atom, E -4.068 eV/atom. Number 3: calculated formation energy -0.166 eV per atom, E -2.971 eV/atom. Number 4: calculated formation energy -0.273 eV per atom, E -4.480 eV/atom. Number 5: calculated formation energy -0.331 eV per atom, E -4.048 eV/atom. Number 6: calculated formation energy -0.133 eV per atom, E -3.125 eV/atom. Number 7: calculated formation energy 0.112 eV per atom, E -2.693 eV/atom. Number 8: calculated formation energy -0.347 eV per atom, E -4.435 eV/atom. Number 9: calculated formation energy 0.241 eV per atom, E -3.074 eV/atom. Number 10: calculated formation energy -0.396 eV per atom, E -4.040 eV/atom. Number 11: calculated formation energy -0.160 eV per atom, E -4.316 eV/atom. Number 12: calculated formation energy -0.200 eV per atom, E -3.004 eV/atom.